## GaHg2 (GGA-PBE)

Data for an optimized crystal structure of GaHg2.

Results
**Space-group type**: Fd-3m, No. 227
**Calculated density**: 10.0 g cm⁻³
**V**: 156 Å³/cell
**E above lowest polymorph**: 0.1444 eV/atom
**E_form**: 20.3 kJ/mol of atoms

Geometry as POSCAR:
```
GaHg2
1.0
-3.7827 4.3575 -1.8100
-4.7850 -1.3821 -3.4301
-5.5761 0.3192 2.3190
Hg Ga
4 2
Direct
0.1250 0.6250 0.6250 Hg
0.6250 0.1250 0.6250 Hg
0.6250 0.6250 0.6250 Hg
0.6250 0.6250 0.1250 Hg
0.0000 0.0000 0.0000 Ga
0.2500 0.2500 0.2500 Ga
```


## GaHg4 (GGA-PBE)

Data for an optimized crystal structure of GaHg4.

Results
**Space-group type**: C2/c, No. 15
**Calculated density**: 10.3 g cm⁻³
**V**: 281 Å³/cell
**E above lowest polymorph**: 0.0084 eV/atom
**E_form**: 5.4 kJ/mol of atoms

Geometry as POSCAR:
```
GaHg4
1.0
-4.2924 -5.3406 -0.9477
0.9236 -3.8946 4.5082
-7.0732 0.6080 3.3677
Hg Ga
8 2
Direct
0.6126 0.1951 0.2202 Hg
0.3874 0.8049 0.7798 Hg
0.0895 0.8054 0.3528 Hg
0.9105 0.1946 0.6472 Hg
0.4424 0.3054 0.6472 Hg
0.5576 0.6946 0.3528 Hg
0.8329 0.6951 0.7798 Hg
0.1671 0.3049 0.2202 Hg
0.0263 0.2500 0.9474 Ga
0.9737 0.7500 0.0526 Ga
```


> Look up the V of the first one.

156 Å³/cell


> Which of these has the lowest V?

GaHg2